This record from the Alexandria database describes CaGaTeI2 after structural relaxation. The functional is GGA-PBE.

The structure in CIF format:
```
data_CaGaTeI2
_cell_length_a 6.081
_cell_length_b 6.081
_cell_length_c 6.091
_cell_angle_alpha 90.00
_cell_angle_beta 90.00
_cell_angle_gamma 90.00
_symmetry_space_group_name_H-M 'P 4/m m m'
_symmetry_Int_Tables_number 123
_symmetry_space_group_name_Hall '-P 4 2'
loop_
_atom_site_label
_atom_site_type_symbol
_atom_site_fract_x
_atom_site_fract_y
_atom_site_fract_z
_atom_site_occupancy
Ca1 Ca 0.000 0.000 0.000 1
Ga1 Ga 0.500 0.500 0.500 1
Te1 Te 0.000 0.000 0.500 1
I1 I 0.000 0.500 0.000 1
```

Properties
**D(E_F)**: 0.88 states/eV/atom
**Raw formation energy**: -0.531 eV/atom
**Excess energy over the best structure of this formula in the dataset**: 0 kJ/mol of formula units